Model 1:
GGA-PBE NbSnPO, relaxed; theoretical density = 5.31 Mg/m³
1.0
3.367 0.000 0.000
0.000 6.476 0.000
0.000 0.000 7.414
P O Sn Nb
2 2 2 2
Direct
0.500 0.836 0.425
0.500 0.164 0.925
0.000 0.424 0.257
0.000 0.576 0.757
0.500 0.806 0.071
0.500 0.194 0.571
0.000 0.437 0.001
0.000 0.563 0.501

=====

Model 2:
GGA-PBE NbSnPO, relaxed; theoretical density = 5.78 Mg/m³
1.0
2.899 -2.899 0.000
2.899 2.899 0.000
0.000 0.000 8.844
Nb Sn O P
2 2 2 2
Direct
0.250 0.750 0.500
0.750 0.250 0.500
0.750 0.750 0.881
0.250 0.250 0.119
0.250 0.750 0.000
0.750 0.250 0.000
0.250 0.250 0.664
0.750 0.750 0.336

=====

It comes down to model 1, which is 311 meV/atom more stable than the next structure.